This record from Alexandria describes Tb5ZnFe2 after structural relaxation. The functional is PBE-GGA.

Cell and atoms, written as CIF:
```
data_Tb5ZnFe2
_symmetry_space_group_name_H-M 'I 4/m c m'
_symmetry_Int_Tables_number 140
_symmetry_space_group_name_Hall '-I 4 2c'
_cell_length_a 7.523
_cell_length_b 7.523
_cell_length_c 13.551
_cell_angle_alpha 90.00
_cell_angle_beta 90.00
_cell_angle_gamma 90.00
loop_
_atom_site_label
_atom_site_type_symbol
_atom_site_fract_x
_atom_site_fract_y
_atom_site_fract_z
Tb1 Tb 0.000 0.000 0.000
Tb2 Tb 0.171 0.329 0.140
Zn1 Zn 0.000 0.000 0.250
Fe1 Fe 0.107 0.393 0.500
```

Summary:
The calculation puts the total magnetization at 1.25 μB per formula unit. As for the total energy: -5.23 eV/atom. For the formation energy, the calculation gives -0.06 eV/atom. For the volume, the calculation gives 23.97 Å³ per atom. For the density, the calculation gives 8416 kg/m3.

***

This record from Alexandria describes Cs3Rb2Ag2 after structural relaxation. The functional is PBE-GGA.

Cell and atoms, written as CIF:
```
data_Cs3Rb2Ag2
_symmetry_space_group_name_H-M 'P -1'
_symmetry_Int_Tables_number 2
_cell_length_a 5.204
_cell_length_b 6.985
_cell_length_c 15.029
_cell_angle_alpha 77.19
_cell_angle_beta 88.92
_cell_angle_gamma 84.94
loop_
_symmetry_equiv_pos_as_xyz
'x,y,z'
'-x,-y,-z'
loop_
_atom_site_label
_atom_site_type_symbol
_atom_site_fract_x
_atom_site_fract_y
_atom_site_fract_z
Cs1 Cs 0.000 0.000 0.000
Cs2 Cs 0.270 0.385 0.222
Rb1 Rb 0.245 0.210 0.585
Ag1 Ag 0.253 0.496 0.968
```

Summary:
The calculation puts the total magnetization at 0.00 μB per formula unit. As for the total energy: -1.41 eV/atom. For the formation energy, the calculation gives 0.04 eV/atom. For the volume, the calculation gives 75.81 Å³ per atom. For the density, the calculation gives 2458 kg/m3.

***

This record from Alexandria describes YAlSb2 after structural relaxation. The functional is PBE-GGA.

Cell and atoms, written as CIF:
```
data_YAlSb2
_symmetry_space_group_name_H-M 'R -3 m'
_symmetry_Int_Tables_number 166
_symmetry_space_group_name_Hall '-R 3 2"'
_cell_length_a 4.1462
_cell_length_b 4.1462
_cell_length_c 21.7573
_cell_angle_alpha 90.00
_cell_angle_beta 90.00
_cell_angle_gamma 120.00
loop_
_atom_site_label
_atom_site_type_symbol
_atom_site_fract_x
_atom_site_fract_y
_atom_site_fract_z
Y1 Y 0.0000 0.0000 0.0000
Al1 Al 0.0000 0.0000 0.5000
Sb1 Sb 0.0000 0.0000 0.2407
```

Summary:
The calculation puts the total magnetization at 0.00 μB per formula unit. As for the uncorrected formation energy: -0.40 eV per atom. As for the total energy: -5.02 eV/atom. For the volume, the calculation gives 26.99 Å³ per atom. For the density, the calculation gives 5527 kg/m3.

***

This record from Alexandria describes CuTc after structural relaxation. The functional is PBE-GGA.

Cell and atoms, written as CIF:
```
data_CuTc
_symmetry_space_group_name_H-M 'P 63/m m c'
_symmetry_Int_Tables_number 194
_symmetry_space_group_name_Hall '-P 6c 2c'
_cell_length_a 4.1038
_cell_length_b 4.1038
_cell_length_c 4.9198
_cell_angle_alpha 90.00
_cell_angle_beta 90.00
_cell_angle_gamma 120.00
loop_
_atom_site_label
_atom_site_type_symbol
_atom_site_fract_x
_atom_site_fract_y
_atom_site_fract_z
Cu1 Cu 0.3333 0.6667 0.2500
Tc1 Tc 0.3333 0.6667 0.7500
```

Summary:
The calculation puts the total magnetization at 0.00 μB per formula unit. As for the offset from the most stable computed form: 1514 meV per atom. As for the total energy: -5.62 eV/atom. For the formation energy, the calculation gives 1.61 eV/atom. For the volume, the calculation gives 17.94 Å³ per atom. For the density, the calculation gives 7477 kg/m3.

***

This record from Alexandria describes CaLaY after structural relaxation. The functional is PBE-GGA.

Cell and atoms, written as CIF:
```
data_CaLaY
_symmetry_space_group_name_H-M 'I 4 m m'
_symmetry_Int_Tables_number 107
_symmetry_space_group_name_Hall 'I 4 -2'
_cell_length_a 3.738
_cell_length_b 3.738
_cell_length_c 15.872
_cell_angle_alpha 90.00
_cell_angle_beta 90.00
_cell_angle_gamma 90.00
loop_
_atom_site_label
_atom_site_type_symbol
_atom_site_fract_x
_atom_site_fract_y
_atom_site_fract_z
Ca1 Ca 0.000 0.000 0.000
La1 La 0.000 0.000 0.680
Y1 Y 0.000 0.000 0.330
```

Summary:
The calculation puts the total magnetization at 0.00 μB per formula unit. As for the offset from the most stable computed form: 15 meV per atom. As for the total energy: -4.41 eV/atom. For the formation energy, the calculation gives 0.05 eV/atom. For the volume, the calculation gives 36.96 Å³ per atom. For the density, the calculation gives 4012 kg/m3.

***

This record from Alexandria describes Rb2PmOsO6 after structural relaxation. The functional is PBE-GGA.

Cell and atoms, written as CIF:
```
data_Rb2PmOsO6
_symmetry_space_group_name_H-M 'F m -3 m'
_symmetry_Int_Tables_number 225
_symmetry_space_group_name_Hall '-F 4 2 3'
_cell_length_a 8.533
_cell_length_b 8.533
_cell_length_c 8.533
_cell_angle_alpha 90.00
_cell_angle_beta 90.00
_cell_angle_gamma 90.00
loop_
_atom_site_label
_atom_site_type_symbol
_atom_site_fract_x
_atom_site_fract_y
_atom_site_fract_z
Rb1 Rb 0.250 0.250 0.250
Pm1 Pm 0.000 0.000 0.000
Os1 Os 0.000 0.000 0.500
O1 O 0.000 0.000 0.276
```

Summary:
The calculation puts the total magnetization at 0.00 μB per formula unit. As for the uncorrected formation energy: -1.86 eV per atom. As for the total energy: -6.63 eV/atom. For the volume, the calculation gives 15.53 Å³ per atom. For the density, the calculation gives 6438 kg/m3.

***

Question: What is the volume in the first record?
Answer: 23.97 Å³ per atom

***

Repeat the first record exactly.
This record from Alexandria describes Tb5ZnFe2 after structural relaxation. The functional is PBE-GGA.

Cell and atoms, written as CIF:
```
data_Tb5ZnFe2
_symmetry_space_group_name_H-M 'I 4/m c m'
_symmetry_Int_Tables_number 140
_symmetry_space_group_name_Hall '-I 4 2c'
_cell_length_a 7.523
_cell_length_b 7.523
_cell_length_c 13.551
_cell_angle_alpha 90.00
_cell_angle_beta 90.00
_cell_angle_gamma 90.00
loop_
_atom_site_label
_atom_site_type_symbol
_atom_site_fract_x
_atom_site_fract_y
_atom_site_fract_z
Tb1 Tb 0.000 0.000 0.000
Tb2 Tb 0.171 0.329 0.140
Zn1 Zn 0.000 0.000 0.250
Fe1 Fe 0.107 0.393 0.500
```

Summary:
The calculation puts the total magnetization at 1.25 μB per formula unit. As for the total energy: -5.23 eV/atom. For the formation energy, the calculation gives -0.06 eV/atom. For the volume, the calculation gives 23.97 Å³ per atom. For the density, the calculation gives 8416 kg/m3.

***

What did the first record say?
This record from Alexandria describes Tb5ZnFe2 after structural relaxation. The functional is PBE-GGA.

Cell and atoms, written as CIF:
```
data_Tb5ZnFe2
_symmetry_space_group_name_H-M 'I 4/m c m'
_symmetry_Int_Tables_number 140
_symmetry_space_group_name_Hall '-I 4 2c'
_cell_length_a 7.523
_cell_length_b 7.523
_cell_length_c 13.551
_cell_angle_alpha 90.00
_cell_angle_beta 90.00
_cell_angle_gamma 90.00
loop_
_atom_site_label
_atom_site_type_symbol
_atom_site_fract_x
_atom_site_fract_y
_atom_site_fract_z
Tb1 Tb 0.000 0.000 0.000
Tb2 Tb 0.171 0.329 0.140
Zn1 Zn 0.000 0.000 0.250
Fe1 Fe 0.107 0.393 0.500
```

Summary:
The calculation puts the total magnetization at 1.25 μB per formula unit. As for the total energy: -5.23 eV/atom. For the formation energy, the calculation gives -0.06 eV/atom. For the volume, the calculation gives 23.97 Å³ per atom. For the density, the calculation gives 8416 kg/m3.